(1)
## La5NdTh (GGA-PBE)

Data for a geometry-optimized La5NdTh structure.

Output
The density of states at the Fermi level comes out at 1.603 states/eV per atom. The value obtained for the total energy is -5.013 eV/atom.

a b c (Å): 5.173 5.663 8.745
angles (deg): 97.84 90.17 90.19
Space group P-1 (No. 2)
Asymmetric unit:
La 0.000 0.000 0.000 [1 per cell]
La 0.002 0.547 0.779 [2 per cell]
La 0.499 0.871 0.208 [2 per cell]
Nd 0.000 0.000 0.500 [1 per cell]
Th 0.500 0.500 0.500 [1 per cell]

***

(2)
## LaNd3Th3 (GGA-PBE)

Data for a geometry-optimized LaNd3Th3 structure.

Output
The density of states at the Fermi level comes out at 1.796 states/eV per atom. The value obtained for the total energy is -5.846 eV/atom.

a b c (Å): 9.6406 9.6406 5.9971
angles (deg): 90.00 90.00 120.00
Space group P6_3/m (No. 176)
Asymmetric unit:
La 0.3333 0.6667 0.2500 [2 per cell]
Nd 0.0444 0.2438 0.2500 [6 per cell]
Th 0.1023 0.4893 0.7500 [6 per cell]

***

(3)
## LaNd2Th (GGA-PBE)

Data for a geometry-optimized LaNd2Th structure.

Output
The excess energy over the best structure of this formula in the dataset is 0.006 eV/f.u. The density of states at the Fermi level comes out at 1.382 states/eV per atom.

a b c (Å): 3.6622 3.6622 24.0010
angles (deg): 90.00 90.00 120.00
Space group P6_3/mmc (No. 194)
Asymmetric unit:
La 0.3333 0.6667 0.2500 [2 per cell]
Nd 0.3333 0.6667 0.6200 [4 per cell]
Th 0.0000 0.0000 0.0000 [2 per cell]

***

(4)
## LaNd2Th (GGA-PBE)

Data for a geometry-optimized LaNd2Th structure.

Output
The excess energy over the best structure of this formula in the dataset is 0.594 eV/f.u. The density of states at the Fermi level comes out at 2.660 states/eV per atom.

a b c (Å): 8.241 8.241 8.241
angles (deg): 90.00 90.00 90.00
Space group Fm-3m (No. 225)
Asymmetric unit:
La 0.000 0.000 0.000 [4 per cell]
Nd 0.250 0.250 0.250 [8 per cell]
Th 0.000 0.000 0.500 [4 per cell]

***

(5)
## La2Nd7Th2 (GGA-PBE)

Data for a geometry-optimized La2Nd7Th2 structure.

Output
The density of states at the Fermi level comes out at 1.614 states/eV per atom. The value obtained for the total energy is -5.131 eV/atom.

a b c (Å): 17.802 12.074 3.669
angles (deg): 90.00 97.97 90.00
Space group C2/m (No. 12)
Asymmetric unit:
La 0.204 0.000 0.153 [4 per cell]
Nd 0.000 0.000 0.500 [2 per cell]
Nd 0.094 0.500 0.262 [4 per cell]
Nd 0.164 0.251 0.662 [8 per cell]
Th 0.000 0.254 0.000 [4 per cell]

***

(6)
## La3Nd5Th2 (GGA-PBE)

Data for a geometry-optimized La3Nd5Th2 structure.

Output
The density of states at the Fermi level comes out at 1.534 states/eV per atom. The value obtained for the total energy is -5.148 eV/atom.

a b c (Å): 11.250 14.480 10.289
angles (deg): 90.00 123.05 90.00
Space group C2/c (No. 15)
Asymmetric unit:
La 0.000 0.238 0.250 [4 per cell]
La 0.151 0.125 0.050 [8 per cell]
Nd 0.000 0.023 0.250 [4 per cell]
Nd 0.000 0.272 0.750 [4 per cell]
Nd 0.000 0.486 0.750 [4 per cell]
Nd 0.247 0.377 0.247 [8 per cell]
Th 0.155 0.374 0.559 [8 per cell]